# 1
Entry from Alexandria via LeMat-Bulk: an optimized crystal structure of KTlIO5 (PBE-GGA).

Lattice parameters (Å, degrees): 7.7368 10.7500 7.6110 90.00 110.67 90.00
Last column: nearest neighbours and their distance in Å.
Space group C2/c (No. 15)
One atom of each set of equivalent atoms:
K1 0.0000 0.1713 0.2500  5 O 2.69-2.91
Tl1 0.0000 0.5000 0.0000  2 O 2.08
I1 0.0000 0.1792 0.7500  4 O 1.87-1.88
O1 0.0000 0.4213 0.2500  2 Tl 2.08
O2 0.1086 0.2837 0.6218  1 I 1.87
O3 0.1713 0.0783 0.9300  1 I 1.88

electronic total energy = -139.0 eV/cell
formation energy without anion corrections = -618 meV per atom

=====

# 2
Entry from Alexandria via LeMat-Bulk: an optimized crystal structure of K3TlI2O9 (PBE-GGA).

Lattice parameters (Å, degrees): 5.9254 5.9254 7.2629 90.00 90.00 120.00
Last column: nearest neighbours and their distance in Å.
Space group P-3m1 (No. 164)
One atom of each set of equivalent atoms:
K1 0.0000 0.0000 0.0000  12 O 2.94-2.96
K2 0.3333 0.6667 0.6701  12 O 2.94-3.02
Tl1 0.0000 0.0000 0.5000  6 O 2.28
I1 0.3333 0.6667 0.1690  6 O 1.90-2.11
O1 0.0000 0.5000 0.0000  2 I 2.11
O2 0.1794 0.3587 0.3151  1 I 1.90

electronic total energy = -65.6 eV/cell
formation energy without anion corrections = -811 meV per atom

=====

# 3
Entry from Alexandria via LeMat-Bulk: an optimized crystal structure of KTmIO6 (PBE-GGA).

Lattice parameters (Å, degrees): 5.6543 5.6543 5.7790 90.00 90.00 120.00
Last column: nearest neighbours and their distance in Å.
Space group P312 (No. 149)
One atom of each set of equivalent atoms:
K1 0.0000 0.0000 0.0000  6 O 2.83
Tm1 0.3333 0.6667 0.5000  6 O 2.24
I1 0.6667 0.3333 0.5000  6 O 1.90
O1 0.4049 0.0444 0.6871  1 I 1.90

electronic total energy = -49.6 eV/cell
formation energy without anion corrections = -1410 meV per atom

=====

Look up the electronic total energy of the second one. -65.6 eV/cell